# ZrHgPt3

Crystalline ZrHgPt3 at its relaxed geometry (PBE-GGA, the Alexandria database).

Cell and atoms, written as POSCAR:
```
ZrHgPt3
1.0
4.9308 0.0000 0.0000
0.0000 4.9308 0.0000
0.0000 0.0000 4.9308
Zr Hg Pt
1 1 3
direct
0.0000 0.0000 0.0000
0.5000 0.5000 0.5000
0.0000 0.5000 0.5000
0.5000 0.0000 0.5000
0.5000 0.5000 0.0000
```

## Properties
Energy above the most stable polymorph in this dataset = 300 meV/atom
Calculated formation energy = 1.008 eV/atom
Space group = Pm-3m



# Pu3Hg

Crystalline Pu3Hg at its relaxed geometry (PBE-GGA, the Alexandria database).

Cell and atoms, written as POSCAR:
```
Pu3Hg
1.0
2.8670 0.0000 0.0000
0.0000 3.5886 0.0000
0.0000 0.0000 9.2496
Pu Hg
3 1
direct
0.0000 0.0000 0.0000
0.0000 0.5000 0.1805
0.5000 0.5000 0.7338
0.5000 0.0000 0.4436
```

## Properties
Energy above the most stable polymorph in this dataset = 130 meV/atom
Calculated formation energy = 0.208 eV/atom
Space group = Pmm2



# PuHg2

Crystalline PuHg2 at its relaxed geometry (PBE-GGA, the Alexandria database).

Cell and atoms, written as POSCAR:
```
PuHg2
1.0
0.0000 4.2402 4.2402
4.2402 0.0000 4.2402
4.2402 4.2402 0.0000
Pu Hg
2 4
direct
0.1250 0.1250 0.1250
0.8750 0.8750 0.8750
0.0000 0.5000 0.5000
0.5000 0.0000 0.5000
0.5000 0.5000 0.0000
0.5000 0.5000 0.5000
```

## Properties
Calculated formation energy = -0.016 eV/atom
Space group = Fd-3m



# Pu5Hg6

Crystalline Pu5Hg6 at its relaxed geometry (PBE-GGA, the Alexandria database).

Cell and atoms, written as POSCAR:
```
Pu5Hg6
1.0
-2.5804 3.8570 7.5138
2.5804 -3.8570 7.5138
2.5804 3.8570 -7.5138
Pu Hg
5 6
direct
0.0000 0.0000 0.0000
0.1509 0.6509 0.5000
0.3099 0.3099 0.0000
0.6901 0.6901 0.0000
0.8491 0.3491 0.5000
0.1259 0.8452 0.2807
0.2998 0.5000 0.7998
0.4355 0.1548 0.2807
0.5645 0.8452 0.7193
0.7002 0.5000 0.2002
0.8741 0.1548 0.7193
```

## Properties
Calculated formation energy = -0.017 eV/atom
Space group = Immm



# PuHg4

Crystalline PuHg4 at its relaxed geometry (PBE-GGA, the Alexandria database).

Cell and atoms, written as POSCAR:
```
PuHg4
1.0
5.3002 0.0000 0.0000
0.0000 3.0498 0.8125
0.0001 -0.6865 15.0971
Pu Hg
2 8
direct
0.0000 0.0000 0.0000
0.5000 0.0000 0.5000
0.0000 0.3009 0.2005
0.5000 0.7015 0.2995
0.0000 0.6991 0.7995
0.5000 0.2985 0.7005
0.0000 0.3952 0.6027
0.5000 0.3948 0.1027
0.0000 0.6048 0.3973
0.5000 0.6052 0.8973
```

## Properties
Energy above the most stable polymorph in this dataset = 14 meV/atom
Calculated formation energy = -0.075 eV/atom



# Pu4Hg

Crystalline Pu4Hg at its relaxed geometry (PBE-GGA, the Alexandria database).

Cell and atoms, written as POSCAR:
```
Pu4Hg
1.0
5.7691 0.0000 0.0000
0.0000 5.7691 0.0000
0.0000 0.0000 5.7691
Pu Hg
4 1
direct
0.0000 0.0000 0.0000
0.0000 0.5000 0.5000
0.5000 0.0000 0.5000
0.5000 0.5000 0.0000
0.5000 0.5000 0.5000
```

## Properties
Calculated formation energy = 0.850 eV/atom
Space group = Pm-3m



# Pu3Hg

Crystalline Pu3Hg at its relaxed geometry (PBE-GGA, the Alexandria database).

Cell and atoms, written as POSCAR:
```
Pu3Hg
1.0
-2.1191 2.4899 4.9165
2.1191 -2.4899 4.9165
2.1191 2.4899 -4.9165
Pu Hg
3 1
direct
0.0000 0.0000 0.0000
0.2437 0.7437 0.5000
0.7563 0.2563 0.5000
0.5000 0.5000 0.0000
```

## Properties
Energy above the most stable polymorph in this dataset = 22 meV/atom
Calculated formation energy = 0.100 eV/atom
Space group = Immm



# PuHg2

Crystalline PuHg2 at its relaxed geometry (PBE-GGA, the Alexandria database).

Cell and atoms, written as POSCAR:
```
PuHg2
1.0
-1.6477 1.6477 6.8301
1.6477 -1.6477 6.8301
1.6477 1.6477 -6.8301
Pu Hg
1 2
direct
0.0000 0.0000 0.0000
0.3317 0.3317 0.0000
0.6683 0.6683 0.0000
```

## Properties
Calculated formation energy = -0.098 eV/atom
Space group = I4/mmm



# Pu6Hg

Crystalline Pu6Hg at its relaxed geometry (PBE-GGA, the Alexandria database).

Cell and atoms, written as POSCAR:
```
Pu6Hg
1.0
-3.3454 3.3454 3.3454
3.3454 -3.3454 3.3454
3.3454 3.3454 -3.3454
Pu Hg
6 1
direct
0.2500 0.5000 0.7500
0.2500 0.7500 0.5000
0.5000 0.2500 0.7500
0.5000 0.7500 0.2500
0.7500 0.2500 0.5000
0.7500 0.5000 0.2500
0.0000 0.0000 0.0000
```

## Properties
Calculated formation energy = 0.384 eV/atom
Space group = Im-3m



# Pu3Hg

Crystalline Pu3Hg at its relaxed geometry (PBE-GGA, the Alexandria database).

Cell and atoms, written as POSCAR:
```
Pu3Hg
1.0
-2.6412 2.6412 3.7280
2.6412 -2.6412 3.7280
2.6412 2.6412 -3.7280
Pu Hg
3 1
direct
0.0000 0.0000 0.0000
0.2500 0.7500 0.5000
0.7500 0.2500 0.5000
0.5000 0.5000 0.0000
```

## Properties
Energy above the most stable polymorph in this dataset = 41 meV/atom
Calculated formation energy = 0.119 eV/atom
Space group = I4/mmm



# Pu3Hg

Crystalline Pu3Hg at its relaxed geometry (PBE-GGA, the Alexandria database).

Cell and atoms, written as POSCAR:
```
Pu3Hg
1.0
4.7086 0.0000 0.0000
0.0000 4.7086 0.0000
0.0000 0.0000 4.7086
Pu Hg
3 1
direct
0.0000 0.0000 0.5000
0.0000 0.5000 0.0000
0.5000 0.0000 0.0000
0.5000 0.5000 0.5000
```

## Properties
Energy above the most stable polymorph in this dataset = 0 meV/atom
Calculated formation energy = 0.078 eV/atom
Space group = Pm-3m



# PuHg4

Crystalline PuHg4 at its relaxed geometry (PBE-GGA, the Alexandria database).

Cell and atoms, written as POSCAR:
```
PuHg4
1.0
6.1266 0.0000 0.0000
0.0000 6.1266 0.0000
0.0000 0.0000 6.1266
Pu Hg
1 4
direct
0.0000 0.0000 0.0000
0.0000 0.0000 0.5000
0.0000 0.5000 0.0000
0.5000 0.0000 0.0000
0.5000 0.5000 0.5000
```

## Properties
Energy above the most stable polymorph in this dataset = 512 meV/atom
Calculated formation energy = 0.423 eV/atom
Space group = Pm-3m



# Pu3Hg8

Crystalline Pu3Hg8 at its relaxed geometry (PBE-GGA, the Alexandria database).

Cell and atoms, written as POSCAR:
```
Pu3Hg8
1.0
2.5768 1.4877 11.9246
-2.5768 1.4877 11.9246
0.0000 -2.9755 11.9246
Pu Hg
3 8
direct
0.0000 0.0000 0.0000
0.4537 0.4537 0.4537
0.5463 0.5463 0.5463
0.0877 0.0877 0.0877
0.1734 0.1734 0.1734
0.2699 0.2699 0.2699
0.3635 0.3635 0.3635
0.6365 0.6365 0.6365
0.7301 0.7301 0.7301
0.8266 0.8266 0.8266
0.9123 0.9123 0.9123
```

## Properties
Calculated formation energy = -0.097 eV/atom
Space group = R-3m



# PuHg4

Crystalline PuHg4 at its relaxed geometry (PBE-GGA, the Alexandria database).

Cell and atoms, written as POSCAR:
```
PuHg4
1.0
-2.5238 3.3047 7.6431
2.5238 -3.3047 7.6431
2.5238 3.3047 -7.6431
Pu Hg
2 8
direct
0.3567 0.1067 0.2500
0.6433 0.8933 0.7500
0.0000 0.5000 0.5000
0.1449 0.8949 0.2500
0.2020 0.6981 0.5039
0.3058 0.3019 0.0039
0.5000 0.5000 0.0000
0.6942 0.6981 0.9961
0.7980 0.3019 0.4961
0.8551 0.1051 0.7500
```

## Properties
Energy above the most stable polymorph in this dataset = 0 meV/atom
Calculated formation energy = -0.089 eV/atom
Space group = Imma



# RbPuHg

Crystalline RbPuHg at its relaxed geometry (PBE-GGA, the Alexandria database).

Cell and atoms, written as POSCAR:
```
RbPuHg
1.0
4.0019 0.0000 0.0000
0.0042 4.0246 0.0000
0.1116 0.0535 14.3940
Rb Pu Hg
2 2 2
direct
0.2406 0.2460 0.3478
0.7594 0.7540 0.6522
0.2481 0.2496 0.0600
0.7519 0.7504 0.9400
0.2550 0.2519 0.8271
0.7450 0.7481 0.1729
```

## Properties
Calculated formation energy = 0.018 eV/atom
Space group = P-1



# Rb4Pu3HgS8

Crystalline Rb4Pu3HgS8 at its relaxed geometry (PBE-GGA, the Alexandria database).

Cell and atoms, written as POSCAR:
```
Rb4Pu3HgS8
1.0
4.1367 2.3883 7.6198
-4.1367 2.3883 7.6198
0.0000 -4.7767 7.6198
Rb Pu Hg S
4 3 1 8
direct
0.0000 0.0000 0.0000
0.0000 0.5000 0.5000
0.5000 0.0000 0.5000
0.5000 0.5000 0.0000
0.0000 0.0000 0.5000
0.0000 0.5000 0.0000
0.5000 0.0000 0.0000
0.5000 0.5000 0.5000
0.2189 0.7359 0.7359
0.2296 0.2296 0.2296
0.2641 0.2641 0.7811
0.2641 0.7811 0.2641
0.7359 0.2189 0.7359
0.7359 0.7359 0.2189
0.7704 0.7704 0.7704
0.7811 0.2641 0.2641
```

## Properties
Space group = R-3m
ΔE_f (raw) = -1286 meV per atom



# Rb2PuHgS4

Crystalline Rb2PuHgS4 at its relaxed geometry (PBE-GGA, the Alexandria database).

Cell and atoms, written as POSCAR:
```
Rb2PuHgS4
1.0
7.4430 0.0000 0.0000
0.0000 4.0532 0.0000
-2.9035 0.0000 7.5469
Rb Pu Hg S
2 1 1 4
direct
0.0000 0.0000 0.0000
0.5000 0.5000 0.0000
0.0000 0.5000 0.5000
0.5000 0.0000 0.5000
0.1952 0.0000 0.7059
0.2635 0.5000 0.3293
0.7365 0.5000 0.6707
0.8048 0.0000 0.2941
```

## Properties
Space group = P2/m
ΔE_f (raw) = -1009 meV per atom



# Rb3Pu3HgSe8

Crystalline Rb3Pu3HgSe8 at its relaxed geometry (PBE-GGA, the Alexandria database).

Cell and atoms, written as POSCAR:
```
Rb3Pu3HgSe8
1.0
4.2201 2.4365 8.0399
-4.2201 2.4365 8.0399
0.0000 -4.8729 8.0399
Rb Pu Hg Se
3 3 1 8
direct
0.0000 0.5000 0.5000
0.5000 0.0000 0.5000
0.5000 0.5000 0.0000
0.0000 0.0000 0.5000
0.0000 0.5000 0.0000
0.5000 0.0000 0.0000
0.5000 0.5000 0.5000
0.2192 0.7366 0.7366
0.2313 0.2313 0.2313
0.2634 0.2634 0.7808
0.2634 0.7808 0.2634
0.7366 0.2192 0.7366
0.7366 0.7366 0.2192
0.7687 0.7687 0.7687
0.7808 0.2634 0.2634
```

## Properties
Space group = R-3m
ΔE_f (raw) = -1157 meV per atom



# RbPu2HgSe4

Crystalline RbPu2HgSe4 at its relaxed geometry (PBE-GGA, the Alexandria database).

Cell and atoms, written as POSCAR:
```
RbPu2HgSe4
1.0
2.1604 -7.3381 0.0000
2.1604 7.3381 0.0000
0.0000 0.0000 15.0306
Rb Pu Hg Se
2 4 2 8
direct
0.1236 0.8764 0.7500
0.8764 0.1236 0.2500
0.3725 0.6275 0.5593
0.3725 0.6275 0.9407
0.6275 0.3725 0.0593
0.6275 0.3725 0.4407
0.1580 0.8420 0.2500
0.8420 0.1580 0.7500
0.0000 0.0000 0.0000
0.0000 0.0000 0.5000
0.2595 0.7405 0.1017
0.2595 0.7405 0.3983
0.4500 0.5500 0.7500
0.5500 0.4500 0.2500
0.7405 0.2595 0.6017
0.7405 0.2595 0.8983
```

## Properties
Space group = Cmcm
ΔE_f (raw) = -1111 meV per atom



# Rb2PuHgSe4

Crystalline Rb2PuHgSe4 at its relaxed geometry (PBE-GGA, the Alexandria database).

Cell and atoms, written as POSCAR:
```
Rb2PuHgSe4
1.0
-4.2160 4.2160 3.6613
4.2160 -4.2160 3.6613
4.2160 4.2160 -3.6613
Rb Pu Hg Se
2 1 1 4
direct
0.0000 0.5000 0.5000
0.5000 0.0000 0.5000
0.0000 0.0000 0.0000
0.5000 0.5000 0.0000
0.0811 0.0811 0.6577
0.4234 0.4234 0.3423
0.5766 0.9189 0.0000
0.9189 0.5766 0.0000
```

## Properties
Space group = I-42m
ΔE_f (raw) = -861 meV per atom



no.,DFT total energy (eV per cell)
1,-21.9
2,-42.5
3,-30.0
4,-73.7
5,-31.8
6,-53.4
7,-42.9
8,-15.2
9,-83.6
10,-42.8
11,-43.0
12,-13.4
13,-46.5
14,-32.0
15,-31.1
16,-100.8
17,-41.1
18,-91.4
19,-105.5
20,-37.4